Below is a relaxed Cd3CoTc crystal, with properties calculated at the PBEsol level.

Output
* space-group type: Pm-3m
* Fermi-level density of states: 9.484 states/eV per cell
* energy: -14.29 eV per cell

a = 5.068 Å, b = 5.068 Å, c = 5.068 Å
α = 90.00°, β = 90.00°, γ = 90.00°
Fractional positions:
Cd  0.000  0.000  0.500
Cd  0.000  0.500  0.000
Cd  0.500  0.000  0.000
Co  0.500  0.500  0.500
Tc  0.000  0.000  0.000

Below is a relaxed CdCo3Tc crystal, with properties calculated at the PBEsol level.

Output
* space-group type: Pm-3m
* energy above the lowest structure with this stoichiometry: 0.0 meV/atom
* Fermi-level density of states: 6.927 states/eV per cell
* energy: -29.04 eV per cell

a = 4.333 Å, b = 4.333 Å, c = 4.333 Å
α = 90.00°, β = 90.00°, γ = 90.00°
Fractional positions:
Cd  0.000  0.000  0.000
Co  0.000  0.500  0.500
Co  0.500  0.000  0.500
Co  0.500  0.500  0.000
Tc  0.500  0.500  0.500

Below is a relaxed CdCo2Te crystal, with properties calculated at the PBEsol level.

Output
* space-group type: P4/mmm
* raw formation energy: 0.33 eV per atom
* energy above the lowest structure with this stoichiometry: 74.3 meV/atom
* Fermi-level density of states: 2.672 states/eV per cell
* energy: -18.86 eV per cell

a = 4.325 Å, b = 4.325 Å, c = 3.223 Å
α = 90.00°, β = 90.00°, γ = 90.00°
Fractional positions:
Cd  0.000  0.000  0.000
Co  0.000  0.500  0.500
Co  0.500  0.000  0.500
Te  0.500  0.500  0.000

Below is a relaxed CdCo2Te crystal, with properties calculated at the PBEsol level.

Output
* space-group type: Amm2
* raw formation energy: 0.26 eV per atom
* energy above the lowest structure with this stoichiometry: 0.0 meV/atom
* Fermi-level density of states: 5.970 states/eV per cell
* energy: -19.16 eV per cell

a = 3.831 Å, b = 5.029 Å, c = 5.029 Å
α = 41.24°, β = 90.00°, γ = 90.00°
Fractional positions:
Cd  0.000  0.000  0.000
Co  0.000  0.716  0.716
Co  0.500  0.575  0.575
Te  0.500  0.290  0.290

Below is a relaxed CdCo2Te crystal, with properties calculated at the PBEsol level.

Output
* space-group type: Fm-3m
* raw formation energy: 0.33 eV per atom
* energy above the lowest structure with this stoichiometry: 71.4 meV/atom
* Fermi-level density of states: 3.013 states/eV per cell
* energy: -18.87 eV per cell

a = 4.387 Å, b = 4.387 Å, c = 4.387 Å
α = 60.00°, β = 60.00°, γ = 60.00°
Fractional positions:
Cd  0.000  0.000  0.000
Co  0.250  0.250  0.250
Co  0.750  0.750  0.750
Te  0.500  0.500  0.500

Below is a relaxed CdCo2Te2 crystal, with properties calculated at the PBEsol level.

Output
* space-group type: I4/mmm
* raw formation energy: 0.01 eV per atom
* Fermi-level density of states: 3.371 states/eV per cell
* energy: -23.68 eV per cell

a = 8.189 Å, b = 8.189 Å, c = 8.189 Å
α = 154.16°, β = 154.16°, γ = 36.87°
Fractional positions:
Cd  0.000  0.000  0.000
Co  0.250  0.750  0.500
Co  0.750  0.250  0.500
Te  0.355  0.355  0.000
Te  0.645  0.645  0.000

Below is a relaxed CdCo2Te crystal, with properties calculated at the PBEsol level.

Output
* space-group type: I-42d
* raw formation energy: 0.59 eV per atom
* energy above the lowest structure with this stoichiometry: 331.1 meV/atom
* Fermi-level density of states: 7.932 states/eV per cell
* energy: -35.66 eV per cell

a = 5.616 Å, b = 5.616 Å, c = 5.616 Å
α = 105.29°, β = 105.29°, γ = 118.20°
Fractional positions:
Cd  0.000  0.000  0.000
Cd  0.750  0.250  0.500
Co  0.155  0.125  0.530
Co  0.375  0.845  0.970
Co  0.595  0.625  0.470
Co  0.875  0.405  0.030
Te  0.250  0.750  0.500
Te  0.500  0.500  0.000

Below is a relaxed Tl2CdCo crystal, with properties calculated at the PBEsol level.

Output
* space-group type: Fm-3m
* energy above the lowest structure with this stoichiometry: 277.0 meV/atom
* Fermi-level density of states: 4.786 states/eV per cell
* energy: -11.99 eV per cell

a = 4.852 Å, b = 4.852 Å, c = 4.852 Å
α = 60.00°, β = 60.00°, γ = 60.00°
Fractional positions:
Tl  0.250  0.250  0.250
Tl  0.750  0.750  0.750
Cd  0.000  0.000  0.000
Co  0.500  0.500  0.500

Below is a relaxed Tl2CdCo crystal, with properties calculated at the PBEsol level.

Output
* space-group type: Immm
* energy above the lowest structure with this stoichiometry: 20.7 meV/atom
* Fermi-level density of states: 3.041 states/eV per cell
* energy: -13.01 eV per cell

a = 7.086 Å, b = 7.086 Å, c = 7.086 Å
α = 155.76°, β = 143.77°, γ = 44.07°
Fractional positions:
Tl  0.172  0.172  0.000
Tl  0.828  0.828  0.000
Cd  0.500  0.000  0.500
Co  0.000  0.500  0.500

Below is a relaxed Tl2CdCo crystal, with properties calculated at the PBEsol level.

Output
* space-group type: C2/m
* energy above the lowest structure with this stoichiometry: 288.8 meV/atom
* Fermi-level density of states: 4.348 states/eV per cell
* energy: -11.94 eV per cell

a = 5.621 Å, b = 5.621 Å, c = 3.303 Å
α = 105.87°, β = 105.87°, γ = 113.27°
Fractional positions:
Tl  0.000  0.500  0.000
Tl  0.500  0.000  0.000
Cd  0.000  0.000  0.500
Co  0.500  0.500  0.500

Below is a relaxed Tl2CdCo crystal, with properties calculated at the PBEsol level.

Output
* space-group type: Imm2
* energy above the lowest structure with this stoichiometry: 0.0 meV/atom
* Fermi-level density of states: 2.583 states/eV per cell
* energy: -13.09 eV per cell

a = 6.964 Å, b = 6.964 Å, c = 6.964 Å
α = 155.46°, β = 143.51°, γ = 44.47°
Fractional positions:
Tl  0.000  0.000  0.000
Tl  0.689  0.189  0.500
Cd  0.327  0.827  0.500
Co  0.504  0.504  0.000

Below is a relaxed TlCd2Co crystal, with properties calculated at the PBEsol level.

Output
* space-group type: Cmmm
* energy above the lowest structure with this stoichiometry: 44.1 meV/atom
* Fermi-level density of states: 4.438 states/eV per cell
* energy: -11.06 eV per cell

a = 4.996 Å, b = 4.996 Å, c = 3.249 Å
α = 90.00°, β = 90.00°, γ = 111.64°
Fractional positions:
Tl  0.000  0.000  0.000
Cd  0.000  0.500  0.500
Cd  0.500  0.000  0.500
Co  0.500  0.500  0.000

> Among the records above, which one has the highest energy?

TlCd2Co

Repeat the second record exactly.
Below is a relaxed CdCo3Tc crystal, with properties calculated at the PBEsol level.

Output
* space-group type: Pm-3m
* energy above the lowest structure with this stoichiometry: 0.0 meV/atom
* Fermi-level density of states: 6.927 states/eV per cell
* energy: -29.04 eV per cell

a = 4.333 Å, b = 4.333 Å, c = 4.333 Å
α = 90.00°, β = 90.00°, γ = 90.00°
Fractional positions:
Cd  0.000  0.000  0.000
Co  0.000  0.500  0.500
Co  0.500  0.000  0.500
Co  0.500  0.500  0.000
Tc  0.500  0.500  0.500

> Look up the energy of the eleventh one.

-13.09 eV per cell